Below is a relaxed structure of RbReSe2, with properties calculated at the PBE level.

a = 3.8079 Å, b = 3.8079 Å, c = 28.0167 Å
α = 90.00°, β = 90.00°, γ = 120.00°
Space group R-3m (No. 166, hexagonal axes)
One atom of each set of equivalent atoms:
Rb  0.0000  0.0000  0.0000 [3 per cell]
Re  0.0000  0.0000  0.5000 [3 per cell]
Se  0.0000  0.0000  0.1175 [6 per cell]

The formation energy from raw total energies comes out at -0.65 kJ/mol of atoms. As for the relative energy among the computed polymorphs: 217.1 meV/atom. The calculation puts the electronic total energy at -61.2 eV per cell.

***

Below is a relaxed structure of CaPt2Br, with properties calculated at the PBE level.

a = 3.241 Å, b = 4.438 Å, c = 11.567 Å
α = 90.00°, β = 90.00°, γ = 90.00°
Space group Immm (No. 71)
One atom of each set of equivalent atoms:
Ca  0.000  0.000  0.000 [2 per cell]
Pt  0.000  0.500  0.265 [4 per cell]
Br  0.000  0.000  0.500 [2 per cell]

The formation energy from raw total energies comes out at -45.67 kJ/mol of atoms. As for the relative energy among the computed polymorphs: 250.6 meV/atom. The calculation puts the electronic total energy at -35.3 eV per cell.

***

Below is a relaxed structure of Sm2ErAg, with properties calculated at the PBE level.

a = 3.634 Å, b = 3.634 Å, c = 8.829 Å
α = 90.00°, β = 90.00°, γ = 90.00°
Space group P4/mmm (No. 123)
One atom of each set of equivalent atoms:
Sm  0.000  0.000  0.220 [2 per cell]
Er  0.500  0.500  0.500 [1 per cell]
Ag  0.500  0.500  0.000 [1 per cell]

As for the relative energy among the computed polymorphs: 0.0 meV/atom. Its energy of formation from the pure elements is -0.4 eV/f.u. The calculation puts the electronic total energy at -17.3 eV per cell.

***

Below is a relaxed structure of Ce2PuZrP4, with properties calculated at the PBE level.

a = 6.857 Å, b = 3.967 Å, c = 6.876 Å
α = 90.00°, β = 109.32°, γ = 90.00°
Space group P2/m (No. 10)
One atom of each set of equivalent atoms:
Ce  0.000  0.000  0.000 [1 per cell]
Ce  0.500  0.500  0.000 [1 per cell]
Pu  0.000  0.500  0.500 [1 per cell]
Zr  0.500  0.000  0.500 [1 per cell]
P  0.253  0.000  0.737 [2 per cell]
P  0.261  0.500  0.266 [2 per cell]

Its energy of formation from the pure elements is -11.2 eV/f.u. The calculation puts the electronic total energy at -67.6 eV per cell.

***

Below is a relaxed structure of PmNd3Ge2, with properties calculated at the PBE level.

a = 4.512 Å, b = 4.512 Å, c = 8.367 Å
α = 90.00°, β = 90.00°, γ = 90.00°
Space group P-4m2 (No. 115)
One atom of each set of equivalent atoms:
Pm  0.000  0.000  0.000 [1 per cell]
Nd  0.000  0.500  0.358 [2 per cell]
Nd  0.500  0.500  0.000 [1 per cell]
Ge  0.000  0.500  0.724 [2 per cell]

As for the relative energy among the computed polymorphs: 0.0 meV/atom. Its energy of formation from the pure elements is -3.4 eV/f.u. The calculation puts the electronic total energy at -31.7 eV per cell.

***

Below is a relaxed structure of LiSm2Co, with properties calculated at the PBE level.

a = 3.444 Å, b = 3.444 Å, c = 8.165 Å
α = 90.00°, β = 90.00°, γ = 90.00°
Space group P4/mmm (No. 123)
One atom of each set of equivalent atoms:
Li  0.000  0.000  0.000 [1 per cell]
Sm  0.500  0.500  0.298 [2 per cell]
Co  0.000  0.000  0.500 [1 per cell]

As for the relative energy among the computed polymorphs: 0.0 meV/atom. Its energy of formation from the pure elements is 0.0 eV/f.u. The calculation puts the electronic total energy at -18.5 eV per cell.

***

What did the fifth record say?
Below is a relaxed structure of PmNd3Ge2, with properties calculated at the PBE level.

a = 4.512 Å, b = 4.512 Å, c = 8.367 Å
α = 90.00°, β = 90.00°, γ = 90.00°
Space group P-4m2 (No. 115)
One atom of each set of equivalent atoms:
Pm  0.000  0.000  0.000 [1 per cell]
Nd  0.000  0.500  0.358 [2 per cell]
Nd  0.500  0.500  0.000 [1 per cell]
Ge  0.000  0.500  0.724 [2 per cell]

As for the relative energy among the computed polymorphs: 0.0 meV/atom. Its energy of formation from the pure elements is -3.4 eV/f.u. The calculation puts the electronic total energy at -31.7 eV per cell.

***

Please write out number 1 again, unchanged.
Below is a relaxed structure of RbReSe2, with properties calculated at the PBE level.

a = 3.8079 Å, b = 3.8079 Å, c = 28.0167 Å
α = 90.00°, β = 90.00°, γ = 120.00°
Space group R-3m (No. 166, hexagonal axes)
One atom of each set of equivalent atoms:
Rb  0.0000  0.0000  0.0000 [3 per cell]
Re  0.0000  0.0000  0.5000 [3 per cell]
Se  0.0000  0.0000  0.1175 [6 per cell]

The formation energy from raw total energies comes out at -0.65 kJ/mol of atoms. As for the relative energy among the computed polymorphs: 217.1 meV/atom. The calculation puts the electronic total energy at -61.2 eV per cell.